Density functional theory data (PBE) for a relaxed structure of NaNi2SbH.

## Properties
DFT total energy = -15.8 eV per cell
density of states at the Fermi level = 4.868 states/eV/f.u.
spin magnetization = 2.4 μB/cell

Cell: 4.752 6.061 4.752 Å, 90.00 90.00 90.00°
Fractional positions:
Ni: 0.500 0.000 0.000
H: 0.500 0.500 0.500
Sb: 0.000 0.000 0.000
Ni: 0.000 0.000 0.500
Na: 0.000 0.500 0.000